[1]
Crystalline KGa2FeSe at its relaxed geometry, computed with GGA-PBE.

```
KGa2FeSe
1.0
4.720 0.000 0.000
0.000 4.720 0.000
0.000 0.000 4.910
K Ga Fe Se
1 2 1 1
Direct
0.000 0.000 0.000 K
0.000 0.500 0.500 Ga
0.500 0.000 0.500 Ga
0.500 0.500 0.500 Fe
0.500 0.500 0.000 Se
```

Values from the calculation:
formation energy (no corrections): -0.174 eV/atom
calculated volume: 21.9 Å³ per atom
spin magnetization: 1.6 μB/cell
E_tot: -19.97 eV/cell

[2]
Crystalline CaNbF3 at its relaxed geometry, computed with GGA-PBE.

```
CaNbF3
1.0
4.430 0.000 0.000
0.000 4.430 0.000
0.000 0.000 4.430
Ca Nb F
1 1 3
Direct
0.000 0.000 0.000 Ca
0.500 0.500 0.500 Nb
0.000 0.000 0.500 F
0.000 0.500 0.000 F
0.500 0.000 0.000 F
```

Values from the calculation:
energy above the most stable polymorph in this dataset: 0.000 eV/atom
formation energy (no corrections): -1.917 eV/atom
calculated volume: 17.4 Å³ per atom
spin magnetization: 4.0 μB/cell
E_tot: -27.27 eV/cell

[3]
Crystalline Ti5Sb2C at its relaxed geometry, computed with GGA-PBE.

```
Ti5Sb2C
1.0
2.135 -7.148 0.000
2.135 7.148 0.000
0.000 0.000 11.201
Ti Sb C
10 4 2
Direct
0.084 0.916 0.638 Ti
0.084 0.916 0.862 Ti
0.270 0.730 0.580 Ti
0.270 0.730 0.920 Ti
0.280 0.720 0.250 Ti
0.720 0.280 0.750 Ti
0.730 0.270 0.080 Ti
0.730 0.270 0.420 Ti
0.916 0.084 0.138 Ti
0.916 0.084 0.362 Ti
0.113 0.887 0.104 Sb
0.113 0.887 0.396 Sb
0.887 0.113 0.604 Sb
0.887 0.113 0.896 Sb
0.200 0.800 0.750 C
0.800 0.200 0.250 C
```

Values from the calculation:
formation energy (no corrections): -0.061 eV/atom
calculated volume: 21.4 Å³ per atom
spin magnetization: 1.9 μB/cell
E_tot: -114.87 eV/cell

[4]
Crystalline ScCrHW2 at its relaxed geometry, computed with GGA-PBE.

```
ScCrHW2
1.0
4.703 0.000 0.000
0.000 4.703 0.000
0.000 0.000 4.205
Sc Cr H W
1 1 1 2
Direct
0.000 0.000 0.000 Sc
0.000 0.000 0.500 Cr
0.500 0.500 0.500 H
0.000 0.500 0.000 W
0.500 0.000 0.000 W
```

Values from the calculation:
calculated volume: 18.6 Å³ per atom
spin magnetization: 0.0 μB/cell
E_tot: -29.88 eV/cell

[5]
Crystalline CdSnAu at its relaxed geometry, computed with GGA-PBE.

```
CdSnAu
1.0
0.000 3.323 3.323
3.323 0.000 3.323
3.323 3.323 0.000
Cd Sn Au
1 1 1
Direct
0.000 0.000 0.000 Cd
0.500 0.500 0.500 Sn
0.250 0.250 0.250 Au
```

Values from the calculation:
calculated volume: 24.5 Å³ per atom
spin magnetization: 0.0 μB/cell
energy of formation: -0.196 eV per atom
E_tot: -8.78 eV/cell

[6]
Crystalline LaAl4Cd at its relaxed geometry, computed with GGA-PBE.

```
LaAl4Cd
1.0
0.000 4.006 4.006
4.006 0.000 4.006
4.006 4.006 0.000
La Al Cd
1 4 1
Direct
0.000 0.000 0.000 La
0.125 0.625 0.625 Al
0.625 0.125 0.625 Al
0.625 0.625 0.125 Al
0.625 0.625 0.625 Al
0.250 0.250 0.250 Cd
```

Values from the calculation:
calculated volume: 21.4 Å³ per atom
spin magnetization: 0.0 μB/cell
energy of formation: -0.146 eV per atom
E_tot: -21.69 eV/cell

[7]
Crystalline SrZn4Au6 at its relaxed geometry, computed with GGA-PBE.

```
SrZn4Au6
1.0
-3.417 3.417 4.872
3.417 -3.417 4.872
3.417 3.417 -4.872
Sr Zn Au
1 4 6
Direct
0.000 0.000 0.000 Sr
0.242 0.242 0.678 Zn
0.435 0.758 0.000 Zn
0.565 0.565 0.322 Zn
0.758 0.435 0.000 Zn
0.000 0.500 0.500 Au
0.116 0.525 0.000 Au
0.475 0.475 0.591 Au
0.500 0.000 0.500 Au
0.525 0.116 0.000 Au
0.884 0.884 0.409 Au
```

Values from the calculation:
calculated volume: 20.7 Å³ per atom
spin magnetization: 0.0 μB/cell
energy of formation: -0.236 eV per atom
E_tot: -29.04 eV/cell

[8]
Crystalline AgSnCl2 at its relaxed geometry, computed with GGA-PBE.

```
AgSnCl2
1.0
1.841 1.063 8.848
-1.841 1.063 8.848
0.000 -2.126 8.848
Ag Sn Cl
1 1 2
Direct
0.000 0.000 0.000 Ag
0.500 0.500 0.500 Sn
0.398 0.398 0.398 Cl
0.602 0.602 0.602 Cl
```

Values from the calculation:
energy above the most stable polymorph in this dataset: 0.000 eV/atom
formation energy (no corrections): -0.433 eV/atom
calculated volume: 26.0 Å³ per atom
spin magnetization: 0.0 μB/cell
E_tot: -12.28 eV/cell

[9]
Crystalline TaNbSb2 at its relaxed geometry, computed with GGA-PBE.

```
TaNbSb2
1.0
0.000 3.418 3.418
3.418 0.000 3.418
3.418 3.418 0.000
Ta Nb Sb
1 1 2
Direct
0.000 0.000 0.000 Ta
0.500 0.500 0.500 Nb
0.250 0.250 0.250 Sb
0.750 0.750 0.750 Sb
```

Values from the calculation:
energy above the most stable polymorph in this dataset: 0.000 eV/atom
formation energy (no corrections): 0.037 eV/atom
calculated volume: 20.0 Å³ per atom
spin magnetization: 0.0 μB/cell
E_tot: -30.02 eV/cell

[10]
Crystalline Li3Ac2TlIn4 at its relaxed geometry, computed with GGA-PBE.

```
Li3Ac2TlIn4
1.0
4.769 0.000 0.000
0.000 4.769 0.000
0.000 0.000 11.586
Li Ac Tl In
3 2 1 4
Direct
0.000 0.000 0.000 Li
0.000 0.500 0.619 Li
0.500 0.000 0.381 Li
0.000 0.500 0.257 Ac
0.500 0.000 0.743 Ac
0.500 0.500 0.000 Tl
0.000 0.000 0.500 In
0.000 0.500 0.849 In
0.500 0.000 0.151 In
0.500 0.500 0.500 In
```

Values from the calculation:
calculated volume: 26.4 Å³ per atom
spin magnetization: 0.0 μB/cell
energy of formation: -0.339 eV per atom
E_tot: -30.67 eV/cell

[11]
Crystalline Ac4TmIn3 at its relaxed geometry, computed with GGA-PBE.

```
Ac4TmIn3
1.0
-2.880 2.880 8.506
2.880 -2.880 8.506
2.880 2.880 -8.506
Ac Tm In
4 1 3
Direct
0.128 0.628 0.500 Ac
0.372 0.872 0.500 Ac
0.628 0.128 0.500 Ac
0.872 0.372 0.500 Ac
0.000 0.000 0.000 Tm
0.246 0.246 0.000 In
0.500 0.500 0.000 In
0.754 0.754 0.000 In
```

Values from the calculation:
calculated volume: 35.3 Å³ per atom
spin magnetization: 0.0 μB/cell
energy of formation: -0.257 eV per atom
E_tot: -31.17 eV/cell

[12]
Crystalline SiSbS2 at its relaxed geometry, computed with GGA-PBE.

```
SiSbS2
1.0
0.000 3.362 3.362
3.362 0.000 3.362
3.362 3.362 0.000
Si Sb S
1 1 2
Direct
0.000 0.000 0.000 Si
0.500 0.500 0.500 Sb
0.250 0.250 0.250 S
0.750 0.750 0.750 S
```

Values from the calculation:
energy above the most stable polymorph in this dataset: 0.484 eV/atom
formation energy (no corrections): 0.324 eV/atom
calculated volume: 19.0 Å³ per atom
spin magnetization: 0.0 μB/cell
E_tot: -16.51 eV/cell

[13]
Crystalline Sn4AsSeS2 at its relaxed geometry, computed with GGA-PBE.

```
Sn4AsSeS2
1.0
7.183 0.000 0.000
0.000 4.130 0.000
-2.410 0.000 6.810
Sn As Se S
4 1 1 2
Direct
0.244 0.000 0.243 Sn
0.250 0.500 0.757 Sn
0.750 0.500 0.243 Sn
0.756 0.000 0.757 Sn
0.500 0.000 0.000 As
0.500 0.500 0.500 Se
0.000 0.000 0.500 S
0.000 0.500 0.000 S
```

Values from the calculation:
formation energy (no corrections): -0.292 eV/atom
calculated volume: 25.3 Å³ per atom
spin magnetization: 0.0 μB/cell
E_tot: -34.74 eV/cell

[14]
Crystalline CoSN2 at its relaxed geometry, computed with GGA-PBE.

```
CoSN2
1.0
4.873 -1.337 0.000
4.873 1.337 0.000
-0.750 0.000 3.018
Co S N
1 1 2
Direct
0.000 0.000 0.000 Co
0.238 0.238 0.205 S
0.482 0.482 0.588 N
0.790 0.790 0.941 N
```

Values from the calculation:
energy above the most stable polymorph in this dataset: 0.823 eV/atom
formation energy (no corrections): 0.786 eV/atom
calculated volume: 9.8 Å³ per atom
spin magnetization: 0.3 μB/cell
E_tot: -24.74 eV/cell

[15]
Crystalline Sc2NiRu at its relaxed geometry, computed with GGA-PBE.

```
Sc2NiRu
1.0
3.215 0.000 0.000
0.000 3.215 0.000
0.000 0.000 6.305
Sc Ni Ru
2 1 1
Direct
0.000 0.000 0.248 Sc
0.000 0.000 0.752 Sc
0.500 0.500 0.500 Ni
0.500 0.500 0.000 Ru
```

Values from the calculation:
calculated volume: 16.3 Å³ per atom
spin magnetization: 0.0 μB/cell
energy of formation: -0.588 eV per atom
E_tot: -30.07 eV/cell

[16]
Crystalline DyMg2Zn6 at its relaxed geometry, computed with GGA-PBE.

```
DyMg2Zn6
1.0
-1.729 3.722 6.545
1.729 -3.722 6.545
1.729 3.722 -6.545
Dy Mg Zn
1 2 6
Direct
0.000 0.000 0.000 Dy
0.362 0.862 0.500 Mg
0.638 0.138 0.500 Mg
0.002 0.322 0.680 Zn
0.328 0.500 0.828 Zn
0.358 0.678 0.680 Zn
0.642 0.322 0.320 Zn
0.672 0.500 0.172 Zn
0.998 0.678 0.320 Zn
```

Values from the calculation:
energy above the most stable polymorph in this dataset: 0.008 eV/atom
calculated volume: 18.7 Å³ per atom
spin magnetization: 0.0 μB/cell
energy of formation: -0.152 eV per atom
E_tot: -16.80 eV/cell

[17]
Crystalline HoZrCoRu at its relaxed geometry, computed with GGA-PBE.

```
HoZrCoRu
1.0
3.299 0.000 0.000
0.000 3.299 0.000
0.000 0.000 6.574
Ho Zr Co Ru
1 1 1 1
Direct
0.000 0.000 0.000 Ho
0.000 0.000 0.509 Zr
0.500 0.500 0.733 Co
0.500 0.500 0.272 Ru
```

Values from the calculation:
energy above the most stable polymorph in this dataset: 0.000 eV/atom
calculated volume: 17.9 Å³ per atom
spin magnetization: 0.0 μB/cell
energy of formation: -0.404 eV per atom
E_tot: -31.12 eV/cell

[18]
Crystalline Li2FeSi at its relaxed geometry, computed with GGA-PBE.

```
Li2FeSi
1.0
4.872 -1.350 0.000
4.872 1.350 0.000
-1.550 0.000 3.574
Li Fe Si
2 1 1
Direct
0.247 0.247 0.247 Li
0.753 0.753 0.753 Li
0.000 0.000 0.500 Fe
0.500 0.500 0.000 Si
```

Values from the calculation:
formation energy (no corrections): -0.131 eV/atom
calculated volume: 11.8 Å³ per atom
spin magnetization: 0.8 μB/cell
E_tot: -18.24 eV/cell

[19]
Crystalline MnAsOs2 at its relaxed geometry, computed with GGA-PBE.

```
MnAsOs2
1.0
-1.467 2.167 4.316
1.467 -2.167 4.316
1.467 2.167 -4.316
Mn As Os
1 1 2
Direct
0.000 0.000 0.000 Mn
0.781 0.281 0.500 As
0.271 0.771 0.500 Os
0.547 0.547 0.000 Os
```

Values from the calculation:
calculated volume: 13.7 Å³ per atom
spin magnetization: 1.5 μB/cell
energy of formation: 0.297 eV per atom
E_tot: -35.09 eV/cell

[20]
Crystalline NaTi3Cd at its relaxed geometry, computed with GGA-PBE.

```
NaTi3Cd
1.0
5.164 0.000 0.000
0.000 5.164 0.000
0.000 0.000 5.164
Na Ti Cd
1 3 1
Direct
0.000 0.000 0.000 Na
0.000 0.500 0.500 Ti
0.500 0.000 0.500 Ti
0.500 0.500 0.000 Ti
0.500 0.500 0.500 Cd
```

Values from the calculation:
energy above the most stable polymorph in this dataset: 0.000 eV/atom
calculated volume: 27.5 Å³ per atom
spin magnetization: 5.2 μB/cell
energy of formation: 1.238 eV per atom
E_tot: -19.73 eV/cell

[21]
Crystalline Zn2CrPb2 at its relaxed geometry, computed with GGA-PBE.

```
Zn2CrPb2
1.0
-1.769 1.769 9.212
1.769 -1.769 9.212
1.769 1.769 -9.212
Zn Cr Pb
2 1 2
Direct
0.250 0.750 0.500 Zn
0.750 0.250 0.500 Zn
0.000 0.000 0.000 Cr
0.403 0.403 0.000 Pb
0.597 0.597 0.000 Pb
```

Values from the calculation:
energy above the most stable polymorph in this dataset: 0.000 eV/atom
calculated volume: 23.1 Å³ per atom
spin magnetization: 4.0 μB/cell
energy of formation: 0.379 eV per atom
E_tot: -17.69 eV/cell

[22]
Crystalline MgBeSnH6 at its relaxed geometry, computed with GGA-PBE.

```
MgBeSnH6
1.0
4.635 0.000 0.000
-2.317 4.014 0.000
0.000 0.000 4.891
Mg Be Sn H
1 1 1 6
Direct
0.000 0.000 0.000 Mg
0.333 0.667 0.000 Be
0.667 0.333 0.500 Sn
0.059 0.382 0.204 H
0.059 0.676 0.796 H
0.324 0.382 0.796 H
0.324 0.941 0.204 H
0.618 0.676 0.204 H
0.618 0.941 0.796 H
```

Values from the calculation:
calculated volume: 10.1 Å³ per atom
spin magnetization: 0.0 μB/cell
E_tot: -28.08 eV/cell

[23]
Crystalline Ga2GeCF at its relaxed geometry, computed with GGA-PBE.

```
Ga2GeCF
1.0
4.521 0.000 0.000
0.000 4.521 0.000
0.000 0.000 4.493
Ga Ge C F
2 1 1 1
Direct
0.000 0.500 0.000 Ga
0.500 0.000 0.000 Ga
0.000 0.000 0.500 Ge
0.500 0.500 0.500 C
0.000 0.000 0.000 F
```

Values from the calculation:
formation energy (no corrections): 0.954 eV/atom
calculated volume: 18.4 Å³ per atom
spin magnetization: 0.0 μB/cell
E_tot: -17.00 eV/cell

[24]
Crystalline TiClO2 at its relaxed geometry, computed with GGA-PBE.

```
TiClO2
1.0
1.565 0.903 7.404
-1.565 0.903 7.404
0.000 -1.807 7.404
Ti Cl O
1 1 2
Direct
0.000 0.000 0.000 Ti
0.500 0.500 0.500 Cl
0.079 0.079 0.079 O
0.921 0.921 0.921 O
```

Values from the calculation:
energy above the most stable polymorph in this dataset: 1.960 eV/atom
formation energy (no corrections): 0.004 eV/atom
calculated volume: 15.7 Å³ per atom
spin magnetization: 1.6 μB/cell
E_tot: -19.64 eV/cell

[25]
Crystalline FeSn2H at its relaxed geometry, computed with GGA-PBE.

```
FeSn2H
1.0
-2.459 2.459 6.648
2.459 -2.459 6.648
2.459 2.459 -6.648
Fe Sn H
2 4 2
Direct
0.000 0.000 0.000 Fe
0.750 0.250 0.500 Fe
0.189 0.625 0.064 Sn
0.375 0.439 0.564 Sn
0.561 0.125 0.936 Sn
0.875 0.811 0.436 Sn
0.250 0.750 0.500 H
0.500 0.500 0.000 H
```

Values from the calculation:
energy above the most stable polymorph in this dataset: 0.129 eV/atom
calculated volume: 20.1 Å³ per atom
spin magnetization: 4.7 μB/cell
E_tot: -34.21 eV/cell

[26]
Crystalline NiTe2S at its relaxed geometry, computed with GGA-PBE.

```
NiTe2S
1.0
1.968 1.136 7.577
-1.968 1.136 7.577
0.000 -2.273 7.577
Ni Te S
1 2 1
Direct
0.000 0.000 0.000 Ni
0.390 0.390 0.390 Te
0.610 0.610 0.610 Te
0.500 0.500 0.500 S
```

Values from the calculation:
formation energy (no corrections): 0.022 eV/atom
calculated volume: 25.4 Å³ per atom
spin magnetization: 0.0 μB/cell
E_tot: -16.11 eV/cell

[27]
Crystalline GaC2I at its relaxed geometry, computed with GGA-PBE.

```
GaC2I
1.0
0.000 3.047 3.047
3.047 0.000 3.047
3.047 3.047 0.000
Ga C I
1 2 1
Direct
0.000 0.000 0.000 Ga
0.250 0.250 0.250 C
0.750 0.750 0.750 C
0.500 0.500 0.500 I
```

Values from the calculation:
energy above the most stable polymorph in this dataset: 0.836 eV/atom
formation energy (no corrections): 2.666 eV/atom
calculated volume: 14.1 Å³ per atom
spin magnetization: 0.0 μB/cell
E_tot: -12.36 eV/cell